1.
VASP calculation (PBE-GGA) on PmEuPuMg after structural relaxation.

For the uncorrected energy, the calculation gives -7.51 eV/atom. As for the magnetic moment: 0.70 μB per formula unit. The calculation puts the formation energy from the elements at 0.2236 eV per atom.

It has space group F-43m (No. 216), with a = 7.9379 Å, b = 7.9379 Å, c = 7.9379 Å, α = 90.00°, β = 90.00° and γ = 90.00°. The inequivalent atoms are Pm at (0.0000, 0.0000, 0.0000), Eu at (0.0000, 0.0000, 0.5000), Pu at (0.2500, 0.2500, 0.2500) and Mg at (0.2500, 0.2500, 0.7500).



2.
VASP calculation (PBE-GGA) on Eu2AlSn after structural relaxation.

For the uncorrected energy, the calculation gives -7.51 eV/atom. As for the magnetic moment: 13.94 μB per formula unit. The calculation puts the formation energy from the elements at -0.4333 eV per atom.

It has space group P4/mmm (No. 123), with a = 4.9905 Å, b = 4.9905 Å, c = 4.5035 Å, α = 90.00°, β = 90.00° and γ = 90.00°. The inequivalent atoms are Eu at (0.0000, 0.5000, 0.0000), Al at (0.0000, 0.0000, 0.5000) and Sn at (0.5000, 0.5000, 0.5000).



3.
VASP calculation (PBE-GGA) on Nd3Pb2O after structural relaxation.

For the uncorrected energy, the calculation gives -5.66 eV/atom. As for the uncorrected formation energy: -1.215 eV per atom. As for the magnetic moment: 0.00 μB per formula unit.

It has space group C2/c (No. 15), with a = 12.8520 Å, b = 6.5888 Å, c = 8.5293 Å, α = 90.00°, β = 101.16° and γ = 90.00°. The inequivalent atoms are Nd at (0.0000, 0.1274, 0.2500), Nd at (0.1418, 0.3959, 0.6639), Pb at (0.1663, 0.0908, 0.0206) and O at (0.0000, 0.4668, 0.2500).



4.
VASP calculation (PBE-GGA) on Ag2POs after structural relaxation.

For the uncorrected energy, the calculation gives -4.88 eV/atom. As for the magnetic moment: 0.00 μB per formula unit. The calculation puts the formation energy from the elements at 0.7089 eV per atom.

It has space group Pmmm (No. 47), with a = 2.6979 Å, b = 4.5960 Å, c = 5.2004 Å, α = 90.00°, β = 90.00° and γ = 90.00°. The inequivalent atoms are Ag at (0.0000, 0.0000, 0.2478), P at (0.5000, 0.5000, 0.5000) and Os at (0.5000, 0.5000, 0.0000).



5.
VASP calculation (PBE-GGA) on CdPd5Pt2 after structural relaxation.

For the uncorrected energy, the calculation gives -4.96 eV/atom. As for the magnetic moment: 0.00 μB per formula unit. The calculation puts the formation energy from the elements at -0.0893 eV per atom.

It has space group P2_1/m (No. 11), with a = 4.8940 Å, b = 10.0046 Å, c = 5.5483 Å, α = 90.00°, β = 107.65° and γ = 90.00°. The inequivalent atoms are Cd at (0.0736, 0.2500, 0.0207), Pd at (0.0005, 0.0023, 0.2512), Pd at (0.0886, 0.2500, 0.5253), Pd at (0.4519, 0.6179, 0.6131) and Pt at (0.4630, 0.6166, 0.1174).



6.
VASP calculation (PBE-GGA) on Sm9TmIn2 after structural relaxation.

For the uncorrected energy, the calculation gives -4.54 eV/atom. As for the magnetic moment: 0.00 μB per formula unit. The calculation puts the formation energy from the elements at -0.1710 eV per atom.

It has space group P4/mmm (No. 123), with a = 4.9521 Å, b = 4.9521 Å, c = 15.1392 Å, α = 90.00°, β = 90.00° and γ = 90.00°. The inequivalent atoms are Sm at (0.0000, 0.0000, 0.0000), Sm at (0.0000, 0.0000, 0.3361), Sm at (0.0000, 0.5000, 0.1718), Sm at (0.0000, 0.5000, 0.5000), Tm at (0.5000, 0.5000, 0.0000) and In at (0.5000, 0.5000, 0.3388).



7.
VASP calculation (PBE-GGA) on SmIn2Pb2 after structural relaxation.

For the uncorrected energy, the calculation gives -3.77 eV/atom. As for the magnetic moment: 0.00 μB per formula unit. The calculation puts the formation energy from the elements at -0.2467 eV per atom.

It has space group Cmcm (No. 63), with a = 4.6063 Å, b = 26.0255 Å, c = 4.7050 Å, α = 90.00°, β = 90.00° and γ = 90.00°. The inequivalent atoms are Sm at (0.0000, 0.1449, 0.2500), In at (0.0000, 0.0475, 0.7500), In at (0.0000, 0.4544, 0.7500), Pb at (0.0000, 0.2506, 0.7500) and Pb at (0.0000, 0.3551, 0.2500).



8.
VASP calculation (PBE-GGA) on PuMgCdAu after structural relaxation.

For the uncorrected energy, the calculation gives -5.33 eV/atom. As for the magnetic moment: 5.70 μB per formula unit. The calculation puts the formation energy from the elements at -0.2967 eV per atom.

It has space group P4mm (No. 99), with a = 3.2684 Å, b = 3.2684 Å, c = 8.2259 Å, α = 90.00°, β = 90.00° and γ = 90.00°. The inequivalent atoms are Pu at (0.0000, 0.0000, 0.0000), Mg at (0.0000, 0.0000, 0.4546), Cd at (0.5000, 0.5000, 0.7059) and Au at (0.5000, 0.5000, 0.2614).



9.
VASP calculation (PBE-GGA) on PIO2 after structural relaxation.

For the uncorrected energy, the calculation gives -5.20 eV/atom. As for the uncorrected formation energy: -0.980 eV per atom. As for the magnetic moment: 0.00 μB per formula unit.

It has space group Cm (No. 8), with a = 13.2243 Å, b = 3.0311 Å, c = 4.9400 Å, α = 90.00°, β = 93.14° and γ = 90.00°. The inequivalent atoms are P at (0.0000, 0.0000, 0.0000), I at (0.1877, 0.0000, 0.8026), O at (0.0122, 0.5000, 0.1590) and O at (0.4209, 0.5000, 0.7778).



10.
VASP calculation (PBE-GGA) on AgTe2Br2 after structural relaxation.

For the uncorrected energy, the calculation gives -2.08 eV/atom. As for the uncorrected formation energy: 0.417 eV per atom. As for the magnetic moment: 0.00 μB per formula unit.

It has space group P4/mbm (No. 127), with a = 9.5300 Å, b = 9.5300 Å, c = 3.2495 Å, α = 90.00°, β = 90.00° and γ = 90.00°. The inequivalent atoms are Ag at (0.0000, 0.0000, 0.0000), Te at (0.2074, 0.2926, 0.5000) and Br at (0.1190, 0.6190, 0.0000).



11.
VASP calculation (PBE-GGA) on TbDy5Tm2Sc after structural relaxation.

For the uncorrected energy, the calculation gives -4.60 eV/atom. As for the magnetic moment: 0.00 μB per formula unit. The calculation puts the formation energy from the elements at 0.1702 eV per atom.

It has space group Cmc2_1 (No. 36), with a = 5.5062 Å, b = 19.7484 Å, c = 10.3299 Å, α = 90.00°, β = 90.00° and γ = 90.00°. The inequivalent atoms are Tb at (0.0000, 0.0900, 0.0000), Dy at (0.0000, 0.0182, 0.2846), Dy at (0.0000, 0.1218, 0.5656), Dy at (0.0000, 0.2001, 0.2501), Dy at (0.0000, 0.2237, 0.8643), Dy at (0.0000, 0.4826, 0.5620), Tm at (0.0000, 0.3863, 0.2824), Tm at (0.0000, 0.3884, 0.8559) and Sc at (0.0000, 0.3047, 0.5593).



12.
VASP calculation (PBE-GGA) on SiNiBAsAuC after structural relaxation.

For the uncorrected energy, the calculation gives -5.54 eV/atom. As for the uncorrected formation energy: 0.302 eV per atom. As for the magnetic moment: 0.00 μB per formula unit.

It has space group Cm (No. 8), with a = 7.9321 Å, b = 3.0424 Å, c = 7.3569 Å, α = 90.00°, β = 96.68° and γ = 90.00°. The inequivalent atoms are Si at (0.0000, 0.0000, 0.0000), Ni at (0.2586, 0.5000, 0.7964), B at (0.3760, 0.0000, 0.1142), As at (0.4546, 0.0000, 0.6428), Au at (0.4106, 0.5000, 0.3406) and C at (0.2232, 0.0000, 0.9657).